A relaxed CoTcRh2 crystal. Source: the Alexandria database, functional PBE.

Output
Offset from the most stable computed form (eV/f.u.): 4.25
Total magnetization (μB per formula unit): 0.00
N(E_F) (states/eV per cell): 18.4
DFT formation energy (eV per atom): 1.04

Unit cell a=5.3896 b=5.3896 c=10.6018 alpha=90.00 beta=90.00 gamma=90.00
Last column: nearest neighbours and their distance in Å.
Space group I-42d (No. 122)
One atom of each set of equivalent atoms:
Co: 0.0000 0.0000 0.0000 x4  4 Rh 2.27
Tc: 0.0000 0.0000 0.5000 x4  4 Rh 2.38
Rh: 0.2329 0.2500 0.1250 x8  2 Co 2.27, 2 Tc 2.38